# 1
Density functional theory data (PBE) for an optimized crystal structure of Ba4PbO6.

Structure (CIF):
```
data_Ba4PbO6
_cell_length_a 7.534
_cell_length_b 7.534
_cell_length_c 7.534
_cell_angle_alpha 90.13
_cell_angle_beta 90.13
_cell_angle_gamma 90.13
_symmetry_space_group_name_H-M 'P 1'
_symmetry_Int_Tables_number 1
loop_
_symmetry_equiv_pos_as_xyz
'x,y,z'
loop_
_atom_site_label
_atom_site_type_symbol
_atom_site_fract_x
_atom_site_fract_y
_atom_site_fract_z
Ba1 Ba 0.111 0.750 0.389
Ba2 Ba 0.250 0.250 0.250
Ba3 Ba 0.250 0.611 0.889
Ba4 Ba 0.389 0.111 0.750
Ba5 Ba 0.611 0.889 0.250
Ba6 Ba 0.750 0.389 0.111
Ba7 Ba 0.750 0.750 0.750
Ba8 Ba 0.889 0.250 0.611
Pb1 Pb 0.000 0.000 0.000
Pb2 Pb 0.500 0.500 0.500
O1 O 0.058 0.924 0.714
O2 O 0.076 0.286 0.942
O3 O 0.214 0.424 0.558
O4 O 0.286 0.942 0.076
O5 O 0.424 0.558 0.214
O6 O 0.442 0.786 0.576
O7 O 0.558 0.214 0.424
O8 O 0.576 0.442 0.786
O9 O 0.714 0.058 0.924
O10 O 0.786 0.576 0.442
O11 O 0.924 0.714 0.058
O12 O 0.942 0.076 0.286
```

## Properties
space-group type: No. 167
uncorrected energy: -5.891 eV per atom
V: 428 Å³ per cell

---

# 2
Density functional theory data (PBE) for an optimized crystal structure of TaCoNi2H.

Structure (CIF):
```
data_TaCoNi2H
_cell_length_a 3.589
_cell_length_b 3.589
_cell_length_c 4.025
_cell_angle_alpha 90.00
_cell_angle_beta 90.00
_cell_angle_gamma 90.00
_symmetry_space_group_name_H-M 'P 1'
_symmetry_Int_Tables_number 1
loop_
_symmetry_equiv_pos_as_xyz
'x,y,z'
loop_
_atom_site_label
_atom_site_type_symbol
_atom_site_fract_x
_atom_site_fract_y
_atom_site_fract_z
Ta1 Ta 0.000 0.000 0.000
Co1 Co 0.500 0.500 0.000
Ni1 Ni 0.000 0.500 0.500
Ni2 Ni 0.500 0.000 0.500
H1 H 0.000 0.000 0.500
```

## Properties
space-group type: No. 123
uncorrected energy: -6.913 eV per atom
V: 52 Å³ per cell

---

no.,theoretical density (kg/m3),Fermi-level density of states (states/eV/atom)
1,6621,0.000
2,11474,0.708